Below is La2GaHg at its PBEsol-relaxed geometry, with properties calculated at the SCAN level.

Geometry as CIF:
```
data_La2GaHg
_space_group_name_H-M_alt 'F m -3 m'
_space_group_IT_number 225
_space_group_name_Hall '-F 4 2 3'
_cell_length_a 7.5676
_cell_length_b 7.5676
_cell_length_c 7.5676
_cell_angle_alpha 90.00
_cell_angle_beta 90.00
_cell_angle_gamma 90.00
loop_
_atom_site_label
_atom_site_type_symbol
_atom_site_fract_x
_atom_site_fract_y
_atom_site_fract_z
La1 La 0.2500 0.2500 0.2500
Ga1 Ga 0.0000 0.0000 0.0000
Hg1 Hg 0.0000 0.0000 0.5000
```


Below is La2Ga2Hg at its PBEsol-relaxed geometry, with properties calculated at the SCAN level.

Geometry as CIF:
```
data_La2Ga2Hg
_space_group_name_H-M_alt 'P 4/m b m'
_space_group_IT_number 127
_space_group_name_Hall '-P 4 2ab'
_cell_length_a 7.2009
_cell_length_b 7.2009
_cell_length_c 4.7350
_cell_angle_alpha 90.00
_cell_angle_beta 90.00
_cell_angle_gamma 90.00
loop_
_atom_site_label
_atom_site_type_symbol
_atom_site_fract_x
_atom_site_fract_y
_atom_site_fract_z
La1 La 0.1730 0.3270 0.0000
Ga1 Ga 0.1288 0.6288 0.5000
Hg1 Hg 0.0000 0.0000 0.5000
```


Below is LiGa3Hg at its PBEsol-relaxed geometry, with properties calculated at the SCAN level.

Geometry as CIF:
```
data_LiGa3Hg
_space_group_name_H-M_alt 'P m -3 m'
_space_group_IT_number 221
_space_group_name_Hall '-P 4 2 3'
_cell_length_a 5.1569
_cell_length_b 5.1569
_cell_length_c 5.1569
_cell_angle_alpha 90.00
_cell_angle_beta 90.00
_cell_angle_gamma 90.00
loop_
_atom_site_label
_atom_site_type_symbol
_atom_site_fract_x
_atom_site_fract_y
_atom_site_fract_z
Li1 Li 0.0000 0.0000 0.0000
Ga1 Ga 0.0000 0.5000 0.5000
Hg1 Hg 0.5000 0.5000 0.5000
```


Below is Li2Ga2Hg at its PBEsol-relaxed geometry, with properties calculated at the SCAN level.

Geometry as CIF:
```
data_Li2Ga2Hg
_space_group_name_H-M_alt 'P 4/m b m'
_space_group_IT_number 127
_space_group_name_Hall '-P 4 2ab'
_cell_length_a 7.1914
_cell_length_b 7.1914
_cell_length_c 3.2300
_cell_angle_alpha 90.00
_cell_angle_beta 90.00
_cell_angle_gamma 90.00
loop_
_atom_site_label
_atom_site_type_symbol
_atom_site_fract_x
_atom_site_fract_y
_atom_site_fract_z
Li1 Li 0.1708 0.3292 0.0000
Ga1 Ga 0.1274 0.6274 0.5000
Hg1 Hg 0.0000 0.0000 0.5000
```


Below is Li2GaHg2 at its PBEsol-relaxed geometry, with properties calculated at the SCAN level.

Geometry as CIF:
```
data_Li2GaHg2
_space_group_name_H-M_alt 'P 4/m b m'
_space_group_IT_number 127
_space_group_name_Hall '-P 4 2ab'
_cell_length_a 7.4577
_cell_length_b 7.4577
_cell_length_c 3.2522
_cell_angle_alpha 90.00
_cell_angle_beta 90.00
_cell_angle_gamma 90.00
loop_
_atom_site_label
_atom_site_type_symbol
_atom_site_fract_x
_atom_site_fract_y
_atom_site_fract_z
Li1 Li 0.1575 0.3425 0.0000
Ga1 Ga 0.0000 0.0000 0.5000
Hg1 Hg 0.1421 0.6421 0.5000
```


Below is Li2GaSnHg at its PBEsol-relaxed geometry, with properties calculated at the SCAN level.

Geometry as CIF:
```
data_Li2GaSnHg
_space_group_name_H-M_alt 'P 4/m m m'
_space_group_IT_number 123
_space_group_name_Hall '-P 4 2'
_cell_length_a 4.8794
_cell_length_b 4.8794
_cell_length_c 4.9818
_cell_angle_alpha 90.00
_cell_angle_beta 90.00
_cell_angle_gamma 90.00
loop_
_atom_site_label
_atom_site_type_symbol
_atom_site_fract_x
_atom_site_fract_y
_atom_site_fract_z
Li1 Li 0.0000 0.5000 0.0000
Ga1 Ga 0.0000 0.0000 0.5000
Sn1 Sn 0.5000 0.5000 0.5000
Hg1 Hg 0.0000 0.0000 0.0000
```


Below is MgGaHg2 at its PBEsol-relaxed geometry, with properties calculated at the SCAN level.

Geometry as CIF:
```
data_MgGaHg2
_space_group_name_H-M_alt 'F m -3 m'
_space_group_IT_number 225
_space_group_name_Hall '-F 4 2 3'
_cell_length_a 6.9046
_cell_length_b 6.9046
_cell_length_c 6.9046
_cell_angle_alpha 90.00
_cell_angle_beta 90.00
_cell_angle_gamma 90.00
loop_
_atom_site_label
_atom_site_type_symbol
_atom_site_fract_x
_atom_site_fract_y
_atom_site_fract_z
Mg1 Mg 0.0000 0.0000 0.0000
Ga1 Ga 0.0000 0.0000 0.5000
Hg1 Hg 0.2500 0.2500 0.2500
```


Below is Mg2Ga2Hg at its PBEsol-relaxed geometry, with properties calculated at the SCAN level.

Geometry as CIF:
```
data_Mg2Ga2Hg
_space_group_name_H-M_alt 'P 4/m b m'
_space_group_IT_number 127
_space_group_name_Hall '-P 4 2ab'
_cell_length_a 7.8386
_cell_length_b 7.8386
_cell_length_c 3.2131
_cell_angle_alpha 90.00
_cell_angle_beta 90.00
_cell_angle_gamma 90.00
loop_
_atom_site_label
_atom_site_type_symbol
_atom_site_fract_x
_atom_site_fract_y
_atom_site_fract_z
Mg1 Mg 0.1845 0.3155 0.0000
Ga1 Ga 0.1155 0.6155 0.5000
Hg1 Hg 0.0000 0.0000 0.5000
```


| no. | formation energy from the elements (eV per atom) |
| --- | --- |
| 1 | -0.67 |
| 2 | -0.68 |
| 3 | 0.47 |
| 4 | -0.27 |
| 5 | -0.31 |
| 6 | 0.04 |
| 7 | -0.06 |
| 8 | -0.12 |